[1]
ZrCdCu | GGA-PBE | optimized geometry

Results
DFT total energy, eV/cell: -26.76
E_form, eV per formula unit: 0.18
Calculated volume, Å³/f.u.: 55.82
Total magnetic moment, μB per cell: 0.00
Space group: Imm2, No. 44

a b c (Å): 2.927 4.378 8.713
angles (deg): 90.00 90.00 90.00
Atoms (fractional coordinates):
Zr  0.000  0.000  0.000
Zr  0.500  0.500  0.500
Cd  0.000  0.000  0.670
Cd  0.500  0.500  0.170
Cu  0.000  0.000  0.336
Cu  0.500  0.500  0.836

***

[2]
ZrCdCu2 | GGA-PBE | optimized geometry

Results
DFT total energy, eV/cell: -35.09
E_form, eV per formula unit: 0.11
Calculated volume, Å³/f.u.: 67.38
Total magnetic moment, μB per cell: 0.00
Space group: I-4m2, No. 119

a b c (Å): 4.544 4.544 6.528
angles (deg): 90.00 90.00 90.00
Atoms (fractional coordinates):
Zr  0.000  0.000  0.000
Zr  0.500  0.500  0.500
Cd  0.000  0.500  0.750
Cd  0.500  0.000  0.250
Cu  0.000  0.000  0.500
Cu  0.000  0.500  0.250
Cu  0.500  0.000  0.750
Cu  0.500  0.500  0.000

***

[3]
ZrCd2Cu | GGA-PBE | optimized geometry

Results
DFT total energy, eV/cell: -53.73
E_form, eV per formula unit: 1.04
Calculated volume, Å³/f.u.: 83.86
Total magnetic moment, μB per cell: 0.00
Space group: I-42d, No. 122

a b c (Å): 7.741 7.741 5.598
angles (deg): 90.00 90.00 90.00
Atoms (fractional coordinates):
Zr  0.000  0.000  0.000
Zr  0.000  0.500  0.250
Zr  0.500  0.000  0.750
Zr  0.500  0.500  0.500
Cd  0.207  0.250  0.625
Cd  0.250  0.707  0.875
Cd  0.250  0.793  0.375
Cd  0.293  0.250  0.125
Cd  0.707  0.750  0.125
Cd  0.750  0.207  0.375
Cd  0.750  0.293  0.875
Cd  0.793  0.750  0.625
Cu  0.000  0.000  0.500
Cu  0.000  0.500  0.750
Cu  0.500  0.000  0.250
Cu  0.500  0.500  0.000

***

[4]
Dy3Cd7 | GGA-PBE | optimized geometry

Results
DFT total energy, eV/cell: -22.81
E_form, eV per formula unit: -2.60
Calculated volume, Å³/f.u.: 242.80
Total magnetic moment, μB per cell: 0.00
Space group: C2/m, No. 12

a b c (Å): 8.651 8.651 6.448
angles (deg): 111.88 111.88 33.09
Atoms (fractional coordinates):
Dy  0.000  0.000  0.000
Dy  0.206  0.206  0.782
Dy  0.794  0.794  0.218
Cd  0.000  0.000  0.500
Cd  0.199  0.199  0.287
Cd  0.392  0.392  0.632
Cd  0.410  0.410  0.158
Cd  0.590  0.590  0.842
Cd  0.608  0.608  0.368
Cd  0.801  0.801  0.713

***

[5]
DyCd4 | GGA-PBE | optimized geometry

Results
DFT total energy, eV/cell: -18.63
E_form, eV per formula unit: -1.05
Calculated volume, Å³/f.u.: 118.66
Total magnetic moment, μB per cell: 0.00
Space group: Imma, No. 74

a b c (Å): 8.465 8.465 8.465
angles (deg): 146.67 134.13 57.87
Atoms (fractional coordinates):
Dy  0.355  0.105  0.250
Dy  0.645  0.895  0.750
Cd  0.000  0.500  0.500
Cd  0.137  0.887  0.250
Cd  0.202  0.698  0.505
Cd  0.307  0.302  0.005
Cd  0.500  0.500  0.000
Cd  0.693  0.698  0.995
Cd  0.798  0.302  0.495
Cd  0.863  0.113  0.750

***

[6]
Dy8Cd | GGA-PBE | optimized geometry

Results
DFT total energy, eV/cell: -37.85
E_form, eV per formula unit: -0.12
Calculated volume, Å³/f.u.: 271.98
Total magnetic moment, μB per cell: 0.00
Space group: C2/m, No. 12

a b c (Å): 7.823 7.823 7.805
angles (deg): 95.74 95.74 143.12
Atoms (fractional coordinates):
Dy  0.164  0.836  0.000
Dy  0.165  0.165  0.329
Dy  0.167  0.500  0.667
Dy  0.500  0.167  0.667
Dy  0.500  0.833  0.333
Dy  0.833  0.500  0.333
Dy  0.835  0.835  0.671
Dy  0.836  0.164  0.000
Cd  0.500  0.500  0.000

***

[7]
Dy6Cd23 | GGA-PBE | optimized geometry

Results
DFT total energy, eV/cell: -54.24
E_form, eV per formula unit: -5.58
Calculated volume, Å³/f.u.: 684.43
Total magnetic moment, μB per cell: 0.00
Space group: Fm-3m, No. 225

a b c (Å): 9.892 9.892 9.892
angles (deg): 60.00 60.00 60.00
Atoms (fractional coordinates):
Dy  0.201  0.201  0.799
Dy  0.201  0.799  0.201
Dy  0.201  0.799  0.799
Dy  0.799  0.201  0.201
Dy  0.799  0.201  0.799
Dy  0.799  0.799  0.201
Cd  0.000  0.000  0.500
Cd  0.000  0.500  0.000
Cd  0.000  0.500  0.500
Cd  0.136  0.621  0.621
Cd  0.161  0.161  0.161
Cd  0.161  0.161  0.517
Cd  0.161  0.517  0.161
Cd  0.379  0.379  0.379
Cd  0.379  0.379  0.864
Cd  0.379  0.864  0.379
Cd  0.483  0.839  0.839
Cd  0.500  0.000  0.000
Cd  0.500  0.000  0.500
Cd  0.500  0.500  0.000
Cd  0.500  0.500  0.500
Cd  0.517  0.161  0.161
Cd  0.621  0.136  0.621
Cd  0.621  0.621  0.136
Cd  0.621  0.621  0.621
Cd  0.839  0.483  0.839
Cd  0.839  0.839  0.483
Cd  0.839  0.839  0.839
Cd  0.864  0.379  0.379

***

[8]
DyCd12 | GGA-PBE | optimized geometry

Results
DFT total energy, eV/cell: -16.50
E_form, eV per formula unit: -0.92
Calculated volume, Å³/f.u.: 295.39
Total magnetic moment, μB per cell: 0.00
Space group: I4/mmm, No. 139

a b c (Å): 7.630 7.630 7.630
angles (deg): 98.90 98.90 133.66
Atoms (fractional coordinates):
Dy  0.000  0.000  0.000
Cd  0.000  0.000  0.500
Cd  0.000  0.350  0.350
Cd  0.000  0.500  0.000
Cd  0.000  0.650  0.650
Cd  0.288  0.500  0.788
Cd  0.350  0.000  0.350
Cd  0.500  0.000  0.000
Cd  0.500  0.288  0.788
Cd  0.500  0.500  0.500
Cd  0.500  0.712  0.212
Cd  0.650  0.000  0.650
Cd  0.712  0.500  0.212